[1]
The following is a GGA-PBE calculation of Na2HgP2 after structural relaxation, from Alexandria via LeMat-Bulk. Values from VASP.

Computed properties:
Its symmetry is P4/mbm, No. 127. The formation energy is -0.2037 eV per atom. For the volume, the calculation gives 22.89 Å³/atom. As for the total magnetization: 0.00 μB/f.u. As for the energy above the most stable polymorph in this dataset: 0 meV per atom.

Geometry as Quantum ESPRESSO input:
```
&SYSTEM
  ibrav = 0, nat = 10, ntyp = 3
/
ATOMIC_SPECIES
P 30.97 P.upf
Hg 200.59 Hg.upf
Na 22.99 Na.upf
ATOMIC_POSITIONS crystal
P 0.400 0.900 0.000
Hg 0.500 0.500 0.000
P 0.600 0.100 0.000
P 0.900 0.600 0.000
Na 0.812 0.312 0.500
P 0.100 0.400 0.000
Na 0.688 0.812 0.500
Na 0.188 0.688 0.500
Na 0.312 0.188 0.500
Hg 0.000 0.000 0.000
CELL_PARAMETERS angstrom
7.448 0.000 0.000
0.000 7.448 0.000
0.000 0.000 4.127
```

[2]
The following is a GGA-PBE calculation of Na2HgP2 after structural relaxation, from Alexandria via LeMat-Bulk. Values from VASP.

Computed properties:
Its symmetry is I4/mmm, No. 139. The formation energy is -0.0878 eV per atom. For the volume, the calculation gives 26.69 Å³/atom. As for the total magnetization: 0.00 μB/f.u. As for the energy above the most stable polymorph in this dataset: 116 meV per atom.

Geometry as Quantum ESPRESSO input:
```
&SYSTEM
  ibrav = 0, nat = 5, ntyp = 3
/
ATOMIC_SPECIES
P 30.97 P.upf
Na 22.99 Na.upf
Hg 200.59 Hg.upf
ATOMIC_POSITIONS crystal
P 0.607 0.607 0.787
P 0.393 0.393 0.213
Na 0.750 0.250 0.500
Hg 0.000 0.000 0.000
Na 0.250 0.750 0.500
CELL_PARAMETERS angstrom
5.273 0.000 0.000
0.000 5.273 0.000
2.637 2.637 4.799
```

[3]
The following is a GGA-PBE calculation of Na2HgP2 after structural relaxation, from Alexandria via LeMat-Bulk. Values from VASP.

Computed properties:
Its symmetry is I4/mmm, No. 139. The formation energy is -0.1241 eV per atom. For the volume, the calculation gives 22.31 Å³/atom. As for the total magnetization: 0.00 μB/f.u. As for the energy above the most stable polymorph in this dataset: 80 meV per atom.

Geometry as Quantum ESPRESSO input:
```
&SYSTEM
  ibrav = 0, nat = 5, ntyp = 3
/
ATOMIC_SPECIES
Na 22.99 Na.upf
P 30.97 P.upf
Hg 200.59 Hg.upf
ATOMIC_POSITIONS crystal
Na 0.620 0.620 0.760
P 0.250 0.750 0.500
Na 0.380 0.380 0.240
P 0.750 0.250 0.500
Hg 0.000 0.000 0.000
CELL_PARAMETERS angstrom
-1.535 -1.796 -2.440
-1.402 -2.004 2.357
-9.114 3.999 0.427
```

[4]
The following is a GGA-PBE calculation of NaHgP after structural relaxation, from Alexandria via LeMat-Bulk. Values from VASP.

Computed properties:
Its symmetry is Fddd, No. 70. The formation energy is -0.2202 eV per atom. For the volume, the calculation gives 26.73 Å³/atom. As for the total magnetization: 0.00 μB/f.u.

Geometry as Quantum ESPRESSO input:
```
&SYSTEM
  ibrav = 0, nat = 12, ntyp = 3
/
ATOMIC_SPECIES
Na 22.99 Na.upf
Hg 200.59 Hg.upf
P 30.97 P.upf
ATOMIC_POSITIONS crystal
Na 0.385 0.385 0.115
Hg 0.875 0.375 0.875
Hg 0.875 0.875 0.375
Na 0.635 0.635 0.365
Hg 0.875 0.875 0.875
Na 0.115 0.115 0.385
P 0.262 0.738 0.262
Hg 0.375 0.875 0.875
Na 0.365 0.365 0.635
P 0.738 0.262 0.738
P 0.488 0.012 0.488
P 0.012 0.488 0.012
CELL_PARAMETERS angstrom
-0.710 -3.530 7.251
-2.162 3.449 6.941
-6.631 -1.393 2.238
```

[5]
The following is a GGA-PBE calculation of NaHgPPb after structural relaxation, from Alexandria via LeMat-Bulk. Values from VASP.

Computed properties:
Its symmetry is F-43m, No. 216. The formation energy is -0.0236 eV per atom. For the volume, the calculation gives 24.80 Å³/atom. As for the total magnetization: 0.00 μB/f.u.

Geometry as Quantum ESPRESSO input:
```
&SYSTEM
  ibrav = 0, nat = 4, ntyp = 4
/
ATOMIC_SPECIES
Na 22.99 Na.upf
Pb 207.20 Pb.upf
Hg 200.59 Hg.upf
P 30.97 P.upf
ATOMIC_POSITIONS crystal
Na 0.500 0.500 0.500
Pb 0.000 0.000 0.000
Hg 0.750 0.750 0.750
P 0.250 0.250 0.250
CELL_PARAMETERS angstrom
-0.654 4.161 -3.043
-4.752 1.272 -1.675
-2.364 4.235 1.864
```

[6]
The following is a GGA-PBE calculation of Na2HgP2Pd5 after structural relaxation, from Alexandria via LeMat-Bulk. Values from VASP.

Computed properties:
Its symmetry is P4/mbm, No. 127. The formation energy is -0.4116 eV per atom. For the volume, the calculation gives 17.34 Å³/atom. As for the total magnetization: 0.00 μB/f.u.

Geometry as Quantum ESPRESSO input:
```
&SYSTEM
  ibrav = 0, nat = 20, ntyp = 4
/
ATOMIC_SPECIES
Pd 106.42 Pd.upf
P 30.97 P.upf
Hg 200.59 Hg.upf
Na 22.99 Na.upf
ATOMIC_POSITIONS crystal
Pd 0.500 0.570 0.717
P 0.000 0.126 0.626
Hg 0.000 0.500 0.500
Pd 0.500 0.717 0.430
Na 0.000 0.674 0.174
Hg 0.000 0.000 0.000
Pd 0.500 0.070 0.783
Pd 0.500 0.500 0.000
Na 0.000 0.326 0.826
Na 0.000 0.826 0.674
P 0.000 0.374 0.126
P 0.000 0.874 0.374
Na 0.000 0.174 0.326
Pd 0.500 0.930 0.217
Pd 0.500 0.000 0.500
Pd 0.500 0.217 0.070
Pd 0.500 0.430 0.283
Pd 0.500 0.283 0.570
P 0.000 0.626 0.874
Pd 0.500 0.783 0.930
CELL_PARAMETERS angstrom
-1.687 1.043 2.668
1.511 -9.047 4.491
8.669 3.492 4.118
```

[7]
The following is a GGA-PBE calculation of NaHgPPd2 after structural relaxation, from Alexandria via LeMat-Bulk. Values from VASP.

Computed properties:
Its symmetry is P4/mmm, No. 123. The formation energy is 0.6032 eV per atom. For the volume, the calculation gives 25.83 Å³/atom. As for the total magnetization: 0.00 μB/f.u.

Geometry as Quantum ESPRESSO input:
```
&SYSTEM
  ibrav = 0, nat = 5, ntyp = 4
/
ATOMIC_SPECIES
Na 22.99 Na.upf
Hg 200.59 Hg.upf
Pd 106.42 Pd.upf
P 30.97 P.upf
ATOMIC_POSITIONS crystal
Na 0.500 0.500 0.500
Hg 0.000 0.000 0.000
Pd 0.000 0.000 0.500
P 0.000 0.500 0.000
Pd 0.500 0.000 0.000
CELL_PARAMETERS angstrom
5.202 0.000 0.000
0.000 4.772 0.000
0.000 0.000 5.202
```

[8]
The following is a GGA-PBE calculation of Na2HgPPd after structural relaxation, from Alexandria via LeMat-Bulk. Values from VASP.

Computed properties:
Its symmetry is P4/mmm, No. 123. The formation energy is -0.2229 eV per atom. For the volume, the calculation gives 27.32 Å³/atom. As for the total magnetization: 0.00 μB/f.u. As for the energy above the most stable polymorph in this dataset: 0 meV per atom.

Geometry as Quantum ESPRESSO input:
```
&SYSTEM
  ibrav = 0, nat = 5, ntyp = 4
/
ATOMIC_SPECIES
Hg 200.59 Hg.upf
Na 22.99 Na.upf
Pd 106.42 Pd.upf
P 30.97 P.upf
ATOMIC_POSITIONS crystal
Hg 0.500 0.500 0.500
Na 0.500 0.000 0.000
Pd 0.000 0.000 0.500
P 0.000 0.000 0.000
Na 0.000 0.500 0.000
CELL_PARAMETERS angstrom
5.550 0.000 0.000
0.000 5.550 0.000
0.000 0.000 4.435
```

[9]
The following is a GGA-PBE calculation of Na2HgPPd after structural relaxation, from Alexandria via LeMat-Bulk. Values from VASP.

Computed properties:
Its symmetry is P4/mmm, No. 123. The formation energy is -0.2097 eV per atom. For the volume, the calculation gives 27.85 Å³/atom. As for the total magnetization: 0.00 μB/f.u. As for the energy above the most stable polymorph in this dataset: 13 meV per atom.

Geometry as Quantum ESPRESSO input:
```
&SYSTEM
  ibrav = 0, nat = 5, ntyp = 4
/
ATOMIC_SPECIES
Na 22.99 Na.upf
P 30.97 P.upf
Pd 106.42 Pd.upf
Hg 200.59 Hg.upf
ATOMIC_POSITIONS crystal
Na 0.500 0.000 0.000
P 0.000 0.000 0.500
Na 0.000 0.500 0.000
Pd 0.000 0.000 0.000
Hg 0.500 0.500 0.500
CELL_PARAMETERS angstrom
-4.288 2.455 2.705
0.573 -3.668 4.237
2.811 2.727 1.981
```

[10]
The following is a GGA-PBE calculation of Na2HgPPt after structural relaxation, from Alexandria via LeMat-Bulk. Values from VASP.

Computed properties:
Its symmetry is P4/mmm, No. 123. The formation energy is -0.3162 eV per atom. For the volume, the calculation gives 28.27 Å³/atom. As for the total magnetization: 0.00 μB/f.u. As for the energy above the most stable polymorph in this dataset: 0 meV per atom.

Geometry as Quantum ESPRESSO input:
```
&SYSTEM
  ibrav = 0, nat = 5, ntyp = 4
/
ATOMIC_SPECIES
Pt 195.08 Pt.upf
Na 22.99 Na.upf
P 30.97 P.upf
Hg 200.59 Hg.upf
ATOMIC_POSITIONS crystal
Pt 0.000 0.000 0.000
Na 0.500 0.000 0.000
Na 0.000 0.500 0.000
P 0.000 0.000 0.500
Hg 0.500 0.500 0.500
CELL_PARAMETERS angstrom
-1.664 -1.086 5.335
5.152 -2.116 1.177
1.348 3.963 1.227
```

[11]
The following is a GGA-PBE calculation of Na2HgPPt after structural relaxation, from Alexandria via LeMat-Bulk. Values from VASP.

Computed properties:
Its symmetry is P4/mmm, No. 123. The formation energy is -0.2919 eV per atom. For the volume, the calculation gives 27.43 Å³/atom. As for the total magnetization: 0.00 μB/f.u. As for the energy above the most stable polymorph in this dataset: 24 meV per atom.

Geometry as Quantum ESPRESSO input:
```
&SYSTEM
  ibrav = 0, nat = 5, ntyp = 4
/
ATOMIC_SPECIES
Na 22.99 Na.upf
P 30.97 P.upf
Hg 200.59 Hg.upf
Pt 195.08 Pt.upf
ATOMIC_POSITIONS crystal
Na 0.000 0.500 0.000
P 0.000 0.000 0.000
Hg 0.500 0.500 0.500
Na 0.500 0.000 0.000
Pt 0.000 0.000 0.500
CELL_PARAMETERS angstrom
5.598 0.000 0.000
0.000 5.598 0.000
0.000 0.000 4.377
```

[12]
The following is a GGA-PBE calculation of Rb2NaHgP after structural relaxation, from Alexandria via LeMat-Bulk. Values from VASP.

Computed properties:
Its symmetry is P4/mmm, No. 123. The formation energy is -0.1306 eV per atom. For the volume, the calculation gives 48.51 Å³/atom. As for the total magnetization: 0.00 μB/f.u.

Geometry as Quantum ESPRESSO input:
```
&SYSTEM
  ibrav = 0, nat = 5, ntyp = 4
/
ATOMIC_SPECIES
Hg 200.59 Hg.upf
Rb 85.47 Rb.upf
P 30.97 P.upf
Na 22.99 Na.upf
ATOMIC_POSITIONS crystal
Hg 0.500 0.500 0.500
Rb 0.500 0.000 0.000
P 0.000 0.000 0.000
Rb 0.000 0.500 0.000
Na 0.000 0.000 0.500
CELL_PARAMETERS angstrom
-3.788 1.386 -5.319
0.803 -6.252 -2.201
-4.432 -1.539 2.755
```

Question: formation energy of number 5 (NaHgPPb)?
Answer: -0.0236 eV per atom

Please write out number 1 again, unchanged.
The following is a GGA-PBE calculation of Na2HgP2 after structural relaxation, from Alexandria via LeMat-Bulk. Values from VASP.

Computed properties:
Its symmetry is P4/mbm, No. 127. The formation energy is -0.2037 eV per atom. For the volume, the calculation gives 22.89 Å³/atom. As for the total magnetization: 0.00 μB/f.u. As for the energy above the most stable polymorph in this dataset: 0 meV per atom.

Geometry as Quantum ESPRESSO input:
```
&SYSTEM
  ibrav = 0, nat = 10, ntyp = 3
/
ATOMIC_SPECIES
P 30.97 P.upf
Hg 200.59 Hg.upf
Na 22.99 Na.upf
ATOMIC_POSITIONS crystal
P 0.400 0.900 0.000
Hg 0.500 0.500 0.000
P 0.600 0.100 0.000
P 0.900 0.600 0.000
Na 0.812 0.312 0.500
P 0.100 0.400 0.000
Na 0.688 0.812 0.500
Na 0.188 0.688 0.500
Na 0.312 0.188 0.500
Hg 0.000 0.000 0.000
CELL_PARAMETERS angstrom
7.448 0.000 0.000
0.000 7.448 0.000
0.000 0.000 4.127
```

Question: Which formula does entry 2 have?
Answer: Na2HgP2

Question: Which of these has the highest formation energy?
Answer: NaHgPPd2